Here is an optimized crystal structure of CsGdSO from the Open Quantum Materials Database. Energies are from PBE.

Results
For the calculated volume, the calculation gives 23.66 Å³ per atom. The value obtained for the spin magnetization is 0.012 μB per cell. Its final energy is -46.138 eV for the cell shown. The excess energy over the best structure of this formula in the dataset is 99 meV per atom.

Cell: 3.815 3.815 15.019 Å, 90.00 90.00 120.00°
Atoms (fractional coordinates):
Cs  0.667  0.333  0.222
Cs  0.333  0.667  0.778
Gd  0.000  0.000  0.000
Gd  0.000  0.000  0.500
O  0.333  0.667  0.071
O  0.667  0.333  0.929
S  0.333  0.667  0.394
S  0.667  0.333  0.606